Record 1
The following is a PBE+U calculation of a relaxed KVPb2F8 crystal, from Alexandria via LeMat-Bulk.

Properties
DFT total energy = -5.1973 eV per atom
theoretical density = 5.13 g/cm3

abc: 5.369 5.625 7.363
angles: 84.28 74.43 84.34
Space group P-1 (No. 2)
Symmetry-distinct sites (fractional):
1 K 0.000 0.000 0.000 (multiplicity 1)
2 V 0.000 0.000 0.500 (multiplicity 1)
3 Pb 0.397 0.475 0.274 (multiplicity 2)
4 F 0.082 0.270 0.616 (multiplicity 2)
5 F 0.263 0.591 0.997 (multiplicity 2)
6 F 0.265 0.095 0.252 (multiplicity 2)
7 F 0.265 0.792 0.586 (multiplicity 2)



Record 2
The following is a PBE+U calculation of a relaxed K3V2PbF9 crystal, from Alexandria via LeMat-Bulk.

Properties
DFT total energy = -5.2440 eV per atom
theoretical density = 3.81 g/cm3

abc: 6.1154 6.1154 8.0322
angles: 90.00 90.00 120.00
Space group P-3m1 (No. 164)
Symmetry-distinct sites (fractional):
1 K 0.0000 0.0000 0.0000 (multiplicity 1)
2 K 0.3333 0.6667 0.7226 (multiplicity 2)
3 V 0.3333 0.6667 0.1522 (multiplicity 2)
4 Pb 0.0000 0.0000 0.5000 (multiplicity 1)
5 F 0.0000 0.5000 0.0000 (multiplicity 3)
6 F 0.1712 0.3425 0.3002 (multiplicity 6)